La2BeSiAu6: optimized geometry, PBE-GGA.

Cell lengths 6.5242, 6.8918, 6.5262 Å; angles 61.48, 60.05, 90.04 degrees
Closest atoms and distances in Å follow each position.
Fractional coordinates of all 10 atoms:
La  0.7800  0.3362  0.4402  12 Au 3.32-3.50
La  0.2200  0.6638  0.5598  12 Au 3.32-3.50
Be  0.0000  0.0000  0.0000  6 Au 2.30
Si  0.5000  0.5000  0.0000  6 Au 2.50
Au  0.2497  0.1829  0.5152  1 Be 2.30, 1 Si 2.50
Au  0.7615  0.8115  0.9428  1 Be 2.30, 1 Si 2.50
Au  0.2938  0.8095  0.9583  1 Be 2.30, 1 Si 2.50
Au  0.7062  0.1905  0.0417  1 Be 2.30, 1 Si 2.50
Au  0.2385  0.1885  0.0572  1 Be 2.30, 1 Si 2.50
Au  0.7503  0.8171  0.4848  1 Be 2.30, 1 Si 2.50

Output
The total energy comes out at -43.94 eV per cell. The space group is P-1, No. 2. Its total magnetization is 0.00 Bohr magnetons per cell. As for the uncorrected formation energy: -0.5271 eV/atom.